[1]
DFT (PBE) results for a relaxed HfCuPt crystal.

```
HfCuPt
1.0
-1.502 1.906 2.443
2.079 -1.394 2.366
5.581 6.088 -1.318
Hf Cu Pt
2 2 2
direct
0.000 0.500 0.752 Hf
0.500 0.000 0.248 Hf
0.000 0.500 0.429 Cu
0.500 0.000 0.571 Cu
0.000 0.500 0.103 Pt
0.500 0.000 0.897 Pt
```

Computed properties:
size of the total moment	0.0004	μB/atom
symmetry	P4/nmm
energy of formation from the pure elements	-0.71	eV/atom
polymorph energy (0 for the lowest one)	48	meV/atom


[2]
DFT (PBE) results for a relaxed HoReTe crystal.

```
HoReTe
1.0
-2.201 -2.014 3.606
1.662 0.522 4.343
-2.321 2.636 3.093
Te Ho Re
1 1 1
direct
0.000 0.000 0.000 Te
0.250 0.250 0.250 Ho
0.750 0.750 0.750 Re
```

Computed properties:
size of the total moment	0.5418	μB/atom
symmetry	F-43m
electronic total energy	-6.17	eV per atom


[3]
DFT (PBE) results for a relaxed TaNbAsC crystal.

```
TaNbAsC
1.0
3.339 0.000 0.000
-1.669 2.891 0.000
0.000 0.000 11.996
Nb As Ta C
2 2 2 2
direct
0.333 0.667 0.595 Nb
0.667 0.333 0.405 Nb
0.667 0.333 0.751 As
0.333 0.667 0.249 As
0.667 0.333 0.094 Ta
0.333 0.667 0.906 Ta
0.000 0.000 0.500 C
0.000 0.000 0.000 C
```

Computed properties:
size of the total moment	0.0001	μB/atom
symmetry	P-3m1
polymorph energy (0 for the lowest one)	3	meV/atom


[4]
DFT (PBE) results for a relaxed ZrScGa2Ni4 crystal.

```
ZrScGa2Ni4
1.0
-3.667 -1.786 -0.331
2.670 -0.220 -3.093
3.040 -6.816 3.110
Sc Ga Ni Zr
1 2 4 1
direct
0.000 0.000 0.000 Sc
0.667 0.333 0.753 Ga
0.667 0.333 0.247 Ga
0.000 0.000 0.664 Ni
0.000 0.000 0.336 Ni
0.333 0.667 0.167 Ni
0.333 0.667 0.833 Ni
0.333 0.667 0.500 Zr
```

Computed properties:
size of the total moment	0.0005	μB/atom
symmetry	P-6m2
electronic total energy	-5.98	eV per atom


Q: Look up the size of the total moment of the third one.
A: 0.0001 μB/atom


Q: Which of these has the lowest size of the total moment?
A: TaNbAsC